Entry 1:
Entry from Alexandria via LeMat-Bulk: an optimized crystal structure of Tb5Tl6Zn (PBE).

abc: 9.052 9.052 9.052
angles: 148.93 121.24 67.96
Sites, in units of the cell vectors:
Tb (0.000, 0.000, 0.000)
Tb (0.178, 0.678, 0.500)
Tb (0.363, 0.363, 0.000)
Tb (0.637, 0.637, 0.000)
Tb (0.822, 0.322, 0.500)
Tl (0.075, 0.830, 0.245)
Tl (0.235, 0.500, 0.735)
Tl (0.414, 0.170, 0.245)
Tl (0.586, 0.830, 0.755)
Tl (0.765, 0.500, 0.265)
Tl (0.925, 0.170, 0.755)
Zn (0.500, 0.000, 0.500)

## Properties
- Magnetization: 0.000 μB/atom
- Raw total energy: -3.50 eV/atom
- SG: No. 71
- Energy of formation: -284 meV per atom
- Density of states at the Fermi level: 0.77 states/eV/atom

***

Entry 2:
Entry from Alexandria via LeMat-Bulk: an optimized crystal structure of SrCrAg2 (PBE).

abc: 5.091 5.091 5.091
angles: 60.00 60.00 60.00
Sites, in units of the cell vectors:
Sr (0.000, 0.000, 0.000)
Cr (0.750, 0.750, 0.750)
Ag (0.250, 0.250, 0.250)
Ag (0.500, 0.500, 0.500)

## Properties
- Magnetization: 1.194 μB/atom
- Raw total energy: -3.92 eV/atom
- SG: No. 216
- Energy of formation: 333 meV per atom
- Density of states at the Fermi level: 0.61 states/eV/atom
- Energy above the most stable polymorph in this dataset: 174 meV per atom

***

Entry 3:
Entry from Alexandria via LeMat-Bulk: an optimized crystal structure of K3DyRh3O8 (PBE).

abc: 7.141 7.141 7.141
angles: 53.18 53.18 53.18
Sites, in units of the cell vectors:
K (0.000, 0.500, 0.500)
K (0.500, 0.000, 0.500)
K (0.500, 0.500, 0.000)
Dy (0.500, 0.500, 0.500)
Rh (0.000, 0.000, 0.500)
Rh (0.000, 0.500, 0.000)
Rh (0.500, 0.000, 0.000)
O (0.203, 0.737, 0.737)
O (0.222, 0.222, 0.222)
O (0.263, 0.263, 0.797)
O (0.263, 0.797, 0.263)
O (0.737, 0.203, 0.737)
O (0.737, 0.737, 0.203)
O (0.778, 0.778, 0.778)
O (0.797, 0.263, 0.263)

## Properties
- Magnetization: 0.059 μB/atom
- Raw total energy: -6.06 eV/atom
- SG: No. 166
- Formation energy without anion corrections: -137.3 kJ/mol of atoms
- Density of states at the Fermi level: 0.28 states/eV/atom

***

Entry 4:
Entry from Alexandria via LeMat-Bulk: an optimized crystal structure of LaBiN (PBE).

abc: 4.271 4.271 8.691
angles: 90.00 90.00 90.00
Sites, in units of the cell vectors:
La (0.250, 0.250, 0.124)
La (0.750, 0.750, 0.876)
Bi (0.250, 0.250, 0.571)
Bi (0.750, 0.750, 0.429)
N (0.250, 0.750, 0.000)
N (0.750, 0.250, 0.000)

## Properties
- Magnetization: 0.112 μB/atom
- Raw total energy: -6.49 eV/atom
- SG: No. 129
- Formation energy without anion corrections: -74.8 kJ/mol of atoms
- Density of states at the Fermi level: 0.88 states/eV/atom

***

Entry 5:
Entry from Alexandria via LeMat-Bulk: an optimized crystal structure of CsRbOs2O8 (PBE).

abc: 6.385 6.385 9.168
angles: 90.00 90.00 120.00
Sites, in units of the cell vectors:
Cs (0.000, 0.000, 0.000)
Rb (0.000, 0.000, 0.500)
Os (0.333, 0.667, 0.787)
Os (0.667, 0.333, 0.213)
O (0.182, 0.364, 0.725)
O (0.182, 0.818, 0.725)
O (0.333, 0.667, 0.980)
O (0.364, 0.182, 0.275)
O (0.636, 0.818, 0.725)
O (0.667, 0.333, 0.020)
O (0.818, 0.182, 0.275)
O (0.818, 0.636, 0.275)

## Properties
- Magnetization: 0.168 μB/atom
- Raw total energy: -6.60 eV/atom
- SG: No. 164
- Formation energy without anion corrections: -122.7 kJ/mol of atoms
- Density of states at the Fermi level: 1.05 states/eV/atom

***

Entry 6:
Entry from Alexandria via LeMat-Bulk: an optimized crystal structure of Y2TaIr (PBE).

abc: 3.672 6.135 6.135
angles: 46.07 90.00 90.00
Sites, in units of the cell vectors:
Y (0.000, 0.000, 0.000)
Y (0.500, 0.300, 0.300)
Ta (0.500, 0.597, 0.597)
Ir (0.000, 0.743, 0.743)

## Properties
- Magnetization: 0.000 μB/atom
- Raw total energy: -8.64 eV/atom
- SG: No. 38
- Energy of formation: -229 meV per atom
- Density of states at the Fermi level: 1.27 states/eV/atom
- Energy above the most stable polymorph in this dataset: 13 meV per atom

***

Entry 7:
Entry from Alexandria via LeMat-Bulk: an optimized crystal structure of Ac7Tl2Co2 (PBE).

abc: 7.460 7.460 7.599
angles: 90.00 90.00 110.41
Sites, in units of the cell vectors:
Ac (0.000, 0.000, 0.000)
Ac (0.000, 0.500, 0.244)
Ac (0.000, 0.500, 0.756)
Ac (0.500, 0.000, 0.244)
Ac (0.500, 0.000, 0.756)
Ac (0.500, 0.500, 0.235)
Ac (0.500, 0.500, 0.765)
Tl (0.173, 0.173, 0.500)
Tl (0.827, 0.827, 0.500)
Co (0.298, 0.702, 0.000)
Co (0.702, 0.298, 0.000)

## Properties
- Magnetization: 0.000 μB/atom
- Raw total energy: -4.41 eV/atom
- SG: No. 65
- Energy of formation: -78 meV per atom
- Density of states at the Fermi level: 0.99 states/eV/atom
- Energy above the most stable polymorph in this dataset: 0 meV per atom

***

Entry 8:
Entry from Alexandria via LeMat-Bulk: an optimized crystal structure of LaTb4Ru2 (PBE).

abc: 7.726 6.519 8.192
angles: 90.00 113.70 90.00
Sites, in units of the cell vectors:
La (0.024, 0.250, 0.173)
La (0.976, 0.750, 0.827)
Tb (0.249, 0.502, 0.588)
Tb (0.249, 0.998, 0.588)
Tb (0.322, 0.750, 0.258)
Tb (0.379, 0.250, 0.014)
Tb (0.621, 0.750, 0.986)
Tb (0.678, 0.250, 0.742)
Tb (0.751, 0.002, 0.412)
Tb (0.751, 0.498, 0.412)
Ru (0.020, 0.250, 0.722)
Ru (0.401, 0.250, 0.362)
Ru (0.599, 0.750, 0.638)
Ru (0.980, 0.750, 0.278)

## Properties
- Magnetization: 0.000 μB/atom
- Raw total energy: -6.23 eV/atom
- SG: No. 11
- Energy of formation: -230 meV per atom
- Density of states at the Fermi level: 0.95 states/eV/atom

***

Entry 9:
Entry from Alexandria via LeMat-Bulk: an optimized crystal structure of ZrZn4Fe (PBE).

abc: 4.988 4.988 4.988
angles: 60.00 60.00 60.00
Sites, in units of the cell vectors:
Zr (0.000, 0.000, 0.000)
Zn (0.376, 0.376, 0.376)
Zn (0.376, 0.376, 0.873)
Zn (0.376, 0.873, 0.376)
Zn (0.873, 0.376, 0.376)
Fe (0.750, 0.750, 0.750)

## Properties
- Magnetization: 0.003 μB/atom
- Raw total energy: -3.77 eV/atom
- SG: No. 216
- Energy of formation: -85 meV per atom
- Energy above the most stable polymorph in this dataset: 0 meV per atom

***

Entry 10:
Entry from Alexandria via LeMat-Bulk: an optimized crystal structure of CsInGe2Cl8 (PBE).

abc: 6.450 7.252 9.601
angles: 77.16 80.75 82.66
Sites, in units of the cell vectors:
Cs (0.000, 0.000, 0.000)
In (0.000, 0.000, 0.500)
Ge (0.488, 0.404, 0.250)
Ge (0.512, 0.596, 0.750)
Cl (0.151, 0.740, 0.720)
Cl (0.182, 0.815, 0.330)
Cl (0.319, 0.214, 0.466)
Cl (0.448, 0.234, 0.080)
Cl (0.552, 0.766, 0.920)
Cl (0.681, 0.786, 0.534)
Cl (0.818, 0.185, 0.670)
Cl (0.849, 0.260, 0.280)

## Properties
- Magnetization: 0.000 μB/atom
- Raw total energy: -3.39 eV/atom
- SG: No. 2
- Formation energy without anion corrections: -104.7 kJ/mol of atoms
- Density of states at the Fermi level: 0.00 states/eV/atom

***

Entry 11:
Entry from Alexandria via LeMat-Bulk: an optimized crystal structure of TlTcPt2 (PBE).

abc: 2.827 3.655 7.101
angles: 90.00 98.28 90.00
Sites, in units of the cell vectors:
Tl (0.000, 0.000, 0.000)
Tc (0.000, 0.000, 0.500)
Pt (0.419, 0.500, 0.294)
Pt (0.581, 0.500, 0.706)

## Properties
- Magnetization: 0.306 μB/atom
- Raw total energy: -6.05 eV/atom
- SG: No. 10
- Energy of formation: 158 meV per atom
- Density of states at the Fermi level: 0.69 states/eV/atom
- Energy above the most stable polymorph in this dataset: 69 meV per atom

***

Entry 12:
Entry from Alexandria via LeMat-Bulk: an optimized crystal structure of TbPr4Ho2Er2 (PBE).

abc: 8.078 8.078 8.068
angles: 107.37 107.37 36.77
Sites, in units of the cell vectors:
Tb (0.000, 0.000, 0.000)
Pr (0.223, 0.223, 0.332)
Pr (0.447, 0.447, 0.669)
Pr (0.553, 0.553, 0.331)
Pr (0.777, 0.777, 0.668)
Ho (0.332, 0.332, 0.000)
Ho (0.668, 0.668, 0.000)
Er (0.111, 0.111, 0.670)
Er (0.889, 0.889, 0.330)

## Properties
- Magnetization: 0.000 μB/atom
- Raw total energy: -4.65 eV/atom
- SG: No. 12
- Energy of formation: 22 meV per atom
- Density of states at the Fermi level: 1.49 states/eV/atom